This record from the Alexandria database describes a relaxed La3PmSm6Y2 crystal. The functional is PBE-GGA.

Geometry as extended XYZ:
```
12
Lattice="3.161 -5.479 0.000 3.161 5.479 0.000 -2.119 0.000 11.930" Properties=species:S:1:pos:R:3 pbc="T T T"
La 0.000 0.000 0.000
La 3.161 1.830 0.000
La 3.161 -1.830 0.000
Pm 2.102 0.000 5.965
Sm 1.053 1.826 3.032
Sm -0.010 0.000 8.899
Sm 1.053 -1.826 3.032
Sm 3.151 1.826 8.898
Sm 4.214 0.000 3.031
Sm 3.151 -1.826 8.898
Y 2.102 3.651 5.965
Y 2.102 -3.651 5.965
```

Output
The density comes out at 6.6 g/cm3. The calculation puts the total magnetization at 0.00 μB per atom. Its space-group type is C2/m, No. 12. The energy relative to the elements comes out at 0.02 eV per atom. As for the final energy: -5.05 eV/atom.